[1]
Compound: Y12Al3H5
Source: Alexandria via LeMat-Bulk
Functional: PBE-GGA
Structure: optimized geometry

Cell lengths 13.3592, 13.3592, 13.3592 Å; angles 109.47, 109.47, 109.47 degrees
Positions (direct):
Al 0.7500 0.3750 0.1250
Al 0.8750 0.7500 0.1250
Al 0.3750 0.7500 0.6250
Al 0.2500 0.1250 0.3750
Al 0.8750 0.1250 0.2500
Al 0.3750 0.6250 0.2500
Al 0.6250 0.3750 0.7500
Al 0.1250 0.8750 0.7500
Al 0.7500 0.8750 0.6250
Al 0.6250 0.2500 0.3750
Al 0.1250 0.2500 0.8750
Al 0.2500 0.6250 0.8750
H 0.1250 0.3750 0.2500
H 0.0000 0.5000 0.0000
H 0.0000 0.0000 0.0000
H 0.3750 0.2500 0.1250
H 0.5000 0.0000 0.5000
H 0.5000 0.5000 0.0000
H 0.1250 0.7500 0.3750
H 0.7500 0.1250 0.8750
H 0.7500 0.6250 0.3750
H 0.3750 0.1250 0.7500
H 0.6250 0.8750 0.2500
H 0.5000 0.5000 0.5000
H 0.5000 0.0000 0.0000
H 0.0000 0.0000 0.5000
H 0.2500 0.3750 0.6250
H 0.2500 0.8750 0.1250
H 0.0000 0.5000 0.5000
H 0.8750 0.2500 0.6250
H 0.6250 0.7500 0.8750
H 0.8750 0.6250 0.7500
Y 0.7091 0.1135 0.0182
Y 0.3091 0.5182 0.4047
Y 0.9818 0.3865 0.2909
Y 0.5182 0.2091 0.1135
Y 0.5956 0.7091 0.6909
Y 0.9818 0.5953 0.1909
Y 0.3091 0.7909 0.4044
Y 0.0953 0.9044 0.1135
Y 0.5953 0.9818 0.6909
Y 0.7091 0.5956 0.1909
Y 0.7909 0.4818 0.3865
Y 0.8091 0.9047 0.0182
Y 0.1135 0.7091 0.5182
Y 0.3865 0.4047 0.0956
Y 0.0956 0.9047 0.3865
Y 0.4044 0.1135 0.5953
Y 0.0956 0.1909 0.2091
Y 0.4818 0.6909 0.0953
Y 0.8091 0.9044 0.2909
Y 0.1135 0.4044 0.0953
Y 0.3865 0.9818 0.7909
Y 0.5953 0.6135 0.4044
Y 0.9047 0.8091 0.5182
Y 0.7909 0.3091 0.9044
Y 0.4047 0.3865 0.5956
Y 0.0953 0.1909 0.4818
Y 0.2091 0.6909 0.0956
Y 0.1909 0.0956 0.7091
Y 0.6135 0.0182 0.2091
Y 0.8865 0.5956 0.9047
Y 0.5182 0.3091 0.9047
Y 0.5956 0.8865 0.4047
Y 0.9044 0.8091 0.7909
Y 0.9044 0.0953 0.6135
Y 0.8865 0.2909 0.4818
Y 0.1909 0.0953 0.9818
Y 0.6135 0.5953 0.9044
Y 0.4047 0.0182 0.3091
Y 0.2909 0.4044 0.8091
Y 0.2091 0.5182 0.6135
Y 0.9047 0.0956 0.8865
Y 0.6909 0.2091 0.5956
Y 0.4818 0.7909 0.8865
Y 0.0182 0.4047 0.8091
Y 0.4044 0.2909 0.3091
Y 0.0182 0.6135 0.7091
Y 0.6909 0.4818 0.5953
Y 0.2909 0.8865 0.9818

Calculated values
N(E_F) in states/eV/f.u.: 17.61
VASP energy in eV for the cell shown: -442.11

=====

[2]
Compound: PrIn2Ge
Source: Alexandria via LeMat-Bulk
Functional: PBE-GGA
Structure: optimized geometry

Cell lengths 3.4617, 3.4617, 11.1955 Å; angles 81.11, 81.11, 60.00 degrees
Positions (direct):
Pr 0.0000 0.0000 0.0000
Ge 0.5000 0.5000 0.5000
In 0.0983 0.0983 0.7052
In 0.9017 0.9017 0.2948

Calculated values
Distance to the lowest polymorph of the same formula in eV/f.u.: 2.44
N(E_F) in states/eV/f.u.: 1.99
Calculated formation energy in kJ/mol of atoms: 15
VASP energy in eV for the cell shown: -14.24